{
  "formula": "BeSi2Ru",
  "functional": "GGA-PBE",
  "state": "optimized geometry",
  "cell": [[-2.757, 1.028, 0.867], [-1.339, -1.916, -1.986], [-0.206, -3.601, 3.612]],
  "species": ["Be", "Ru", "Si", "Si"],
  "frac_coords": [[0.500, 0.500, 0.250], [0.500, 0.500, 0.750], [0.000, 0.000, 0.018], [0.000, 0.000, 0.482]],
  "space_group": "No. 123",
  "volume_a3_per_cell": 48.03,
  "formation_energy_uncorrected_ev_per_fu": -0.5,
  "magmom_total_mub_per_fu": 0.000
}

---

{
  "formula": "Ti6Ga3Te",
  "functional": "GGA-PBE",
  "state": "optimized geometry",
  "cell": [[-3.141, 2.118, -5.492], [5.351, -3.321, -4.342], [-5.785, -4.787, 1.462]],
  "species": ["Ti", "Ti", "Ti", "Ti", "Ti", "Ti", "Ti", "Ti", "Ti", "Ti", "Ti", "Ti", "Ga", "Ga", "Ga", "Ga", "Ga", "Ga", "Te", "Te"],
  "frac_coords": [[0.284, 0.096, 0.494], [0.258, 0.975, 0.025], [0.136, 0.705, 0.295], [0.618, 0.226, 0.327], [0.758, 0.025, 0.975], [0.636, 0.295, 0.705], [0.784, 0.494, 0.096], [0.118, 0.774, 0.673], [0.284, 0.506, 0.904], [0.118, 0.327, 0.226], [0.618, 0.673, 0.774], [0.784, 0.904, 0.506], [0.965, 0.035, 0.280], [0.335, 0.459, 0.541], [0.965, 0.720, 0.965], [0.835, 0.541, 0.459], [0.465, 0.965, 0.720], [0.465, 0.280, 0.035], [0.023, 0.186, 0.814], [0.523, 0.814, 0.186]],
  "space_group": "No. 36",
  "volume_a3_per_cell": 363.35,
  "formation_energy_uncorrected_ev_per_fu": -2.1,
  "magmom_total_mub_per_fu": 0.000
}